(1)
ZrMn2Bi2: PBEsol geometry, SCAN.

## Properties
Energy of formation: 0.05 eV per atom
Crystal system: tetragonal

a = 7.727 Å, b = 7.727 Å, c = 7.727 Å
α = 151.56°, β = 151.56°, γ = 40.66°
Sites, in units of the cell vectors:
Zr: 0.000 0.000 0.000
Mn: 0.250 0.750 0.500
Mn: 0.750 0.250 0.500
Bi: 0.389 0.389 0.000
Bi: 0.611 0.611 0.000



(2)
Be2CdGe: PBEsol geometry, SCAN.

## Properties
Energy of formation: 0.46 eV per atom
Crystal system: tetragonal

a = 8.018 Å, b = 8.018 Å, c = 8.018 Å
α = 150.18°, β = 150.18°, γ = 42.68°
Sites, in units of the cell vectors:
Be: 0.375 0.245 0.370
Be: 0.755 0.125 0.130
Be: 0.875 0.005 0.630
Be: 0.995 0.625 0.870
Cd: 0.250 0.750 0.500
Cd: 0.500 0.500 0.000
Ge: 0.000 0.000 0.000
Ge: 0.750 0.250 0.500



(3)
LiPW2: PBEsol geometry, SCAN.

## Properties
Energy of formation: 0.11 eV per atom
Crystal system: tetragonal

a = 3.166 Å, b = 3.166 Å, c = 5.412 Å
α = 90.00°, β = 90.00°, γ = 90.00°
Sites, in units of the cell vectors:
Li: 0.000 0.000 0.000
P: 0.500 0.500 0.227
W: 0.000 0.000 0.481
W: 0.500 0.500 0.746



(4)
Sr3MgRh: PBEsol geometry, SCAN.

## Properties
Energy of formation: -0.11 eV per atom
Crystal system: cubic

a = 5.738 Å, b = 5.738 Å, c = 5.738 Å
α = 90.00°, β = 90.00°, γ = 90.00°
Sites, in units of the cell vectors:
Sr: 0.000 0.000 0.500
Sr: 0.000 0.500 0.000
Sr: 0.500 0.000 0.000
Mg: 0.500 0.500 0.500
Rh: 0.000 0.000 0.000



(5)
TiNbBi3: PBEsol geometry, SCAN.

## Properties
Energy of formation: 0.80 eV per atom
Crystal system: cubic

a = 5.416 Å, b = 5.416 Å, c = 5.416 Å
α = 90.00°, β = 90.00°, γ = 90.00°
Sites, in units of the cell vectors:
Ti: 0.000 0.000 0.000
Nb: 0.500 0.500 0.500
Bi: 0.000 0.500 0.500
Bi: 0.500 0.000 0.500
Bi: 0.500 0.500 0.000



(6)
Sc2CdC: PBEsol geometry, SCAN.

## Properties
Energy of formation: 0.85 eV per atom
Crystal system: trigonal

a = 9.180 Å, b = 9.180 Å, c = 9.180 Å
α = 20.61°, β = 20.61°, γ = 20.61°
Sites, in units of the cell vectors:
Sc: 0.078 0.078 0.078
Sc: 0.922 0.922 0.922
Cd: 0.500 0.500 0.500
C: 0.000 0.000 0.000



(7)
BeZnFe2: PBEsol geometry, SCAN.

## Properties
Energy of formation: -0.13 eV per atom
Crystal system: tetragonal
Energy relative to the lowest polymorph listed for this composition: 0.00 kJ per mole of atoms

a = 2.501 Å, b = 2.501 Å, c = 6.730 Å
α = 90.00°, β = 90.00°, γ = 90.00°
Sites, in units of the cell vectors:
Be: 0.000 0.000 0.000
Zn: 0.000 0.000 0.500
Fe: 0.500 0.500 0.218
Fe: 0.500 0.500 0.782



(8)
ZrIrPtSe2: PBEsol geometry, SCAN.

## Properties
Crystal system: tetragonal
Formation energy without anion corrections: 0.5960 eV per atom

a = 4.679 Å, b = 4.679 Å, c = 5.063 Å
α = 90.00°, β = 90.00°, γ = 90.00°
Sites, in units of the cell vectors:
Zr: 0.000 0.000 0.000
Ir: 0.000 0.000 0.500
Pt: 0.500 0.500 0.000
Se: 0.000 0.500 0.500
Se: 0.500 0.000 0.500



(9)
Be2FeCu: PBEsol geometry, SCAN.

## Properties
Energy of formation: -0.16 eV per atom
Crystal system: tetragonal

a = 3.609 Å, b = 3.609 Å, c = 2.738 Å
α = 90.00°, β = 90.00°, γ = 90.00°
Sites, in units of the cell vectors:
Be: 0.000 0.500 0.000
Be: 0.500 0.000 0.000
Fe: 0.000 0.000 0.500
Cu: 0.500 0.500 0.500



(10)
AgSnSb2Te: PBEsol geometry, SCAN.

## Properties
Crystal system: tetragonal
Formation energy without anion corrections: 0.9484 eV per atom

a = 5.543 Å, b = 5.543 Å, c = 5.625 Å
α = 90.00°, β = 90.00°, γ = 90.00°
Sites, in units of the cell vectors:
Ag: 0.000 0.000 0.000
Sn: 0.500 0.500 0.500
Sb: 0.000 0.500 0.500
Sb: 0.500 0.000 0.500
Te: 0.500 0.500 0.000



(11)
ReAgBr: PBEsol geometry, SCAN.

## Properties
Crystal system: tetragonal
Formation energy without anion corrections: 1.0977 eV per atom
Energy relative to the lowest polymorph listed for this composition: 8.09 kJ per mole of atoms

a = 6.387 Å, b = 6.387 Å, c = 6.387 Å
α = 152.84°, β = 152.84°, γ = 38.78°
Sites, in units of the cell vectors:
Re: 0.000 0.000 0.000
Ag: 0.655 0.655 0.000
Br: 0.380 0.380 0.000



(12)
TaAgMo2: PBEsol geometry, SCAN.

## Properties
Energy of formation: 0.21 eV per atom
Crystal system: orthorhombic
Energy relative to the lowest polymorph listed for this composition: 0.00 kJ per mole of atoms

a = 2.709 Å, b = 2.709 Å, c = 9.195 Å
α = 90.00°, β = 90.00°, γ = 107.08°
Sites, in units of the cell vectors:
Ta: 0.000 0.000 0.000
Ag: 0.000 0.000 0.500
Mo: 0.500 0.500 0.247
Mo: 0.500 0.500 0.753



(13)
MoCSeN2: PBEsol geometry, SCAN.

## Properties
Crystal system: tetragonal
Formation energy without anion corrections: 1.5528 eV per atom

a = 3.767 Å, b = 3.767 Å, c = 5.261 Å
α = 90.00°, β = 90.00°, γ = 90.00°
Sites, in units of the cell vectors:
Mo: 0.000 0.000 0.000
C: 0.500 0.500 0.500
Se: 0.000 0.000 0.500
N: 0.000 0.500 0.000
N: 0.500 0.000 0.000



(14)
GeS3F: PBEsol geometry, SCAN.

## Properties
Crystal system: cubic
Formation energy without anion corrections: 0.6496 eV per atom

a = 4.598 Å, b = 4.598 Å, c = 4.598 Å
α = 90.00°, β = 90.00°, γ = 90.00°
Sites, in units of the cell vectors:
Ge: 0.000 0.000 0.000
S: 0.000 0.000 0.500
S: 0.000 0.500 0.000
S: 0.500 0.000 0.000
F: 0.500 0.500 0.500



(15)
Ca2TlTc: PBEsol geometry, SCAN.

## Properties
Energy of formation: 0.51 eV per atom
Crystal system: trigonal
Energy relative to the lowest polymorph listed for this composition: 22.93 kJ per mole of atoms

a = 10.187 Å, b = 10.187 Å, c = 10.187 Å
α = 19.47°, β = 19.47°, γ = 19.47°
Sites, in units of the cell vectors:
Ca: 0.000 0.000 0.000
Ca: 0.220 0.220 0.220
Tl: 0.752 0.752 0.752
Tc: 0.483 0.483 0.483



(16)
NbCuRe2Hg: PBEsol geometry, SCAN.

## Properties
Energy of formation: 1.63 eV per atom
Crystal system: tetragonal

a = 4.468 Å, b = 4.468 Å, c = 4.499 Å
α = 90.00°, β = 90.00°, γ = 90.00°
Sites, in units of the cell vectors:
Nb: 0.000 0.000 0.000
Cu: 0.000 0.000 0.500
Re: 0.000 0.500 0.500
Re: 0.500 0.000 0.500
Hg: 0.500 0.500 0.000



(17)
MgSc2Fe: PBEsol geometry, SCAN.

## Properties
Energy of formation: 0.12 eV per atom
Crystal system: orthorhombic

a = 5.797 Å, b = 5.797 Å, c = 5.797 Å
α = 148.72°, β = 132.21°, γ = 58.23°
Sites, in units of the cell vectors:
Mg: 0.000 0.000 0.000
Sc: 0.397 0.397 0.000
Sc: 0.704 0.204 0.500
Fe: 0.207 0.707 0.500



(18)
Hf3Sb7Pd: PBEsol geometry, SCAN.

## Properties
Crystal system: orthorhombic
Formation energy without anion corrections: -0.4687 eV per atom

a = 17.410 Å, b = 3.924 Å, c = 14.468 Å
α = 90.00°, β = 90.00°, γ = 90.00°
Sites, in units of the cell vectors:
Hf: 0.108 0.250 0.089
Hf: 0.131 0.250 0.531
Hf: 0.152 0.250 0.811
Hf: 0.348 0.750 0.311
Hf: 0.369 0.750 0.031
Hf: 0.392 0.750 0.589
Hf: 0.608 0.250 0.411
Hf: 0.631 0.250 0.969
Hf: 0.652 0.250 0.689
Hf: 0.848 0.750 0.189
Hf: 0.869 0.750 0.469
Hf: 0.892 0.750 0.911
Sb: 0.019 0.750 0.195
Sb: 0.036 0.750 0.429
Sb: 0.072 0.750 0.941
Sb: 0.095 0.750 0.676
Sb: 0.217 0.250 0.320
Sb: 0.228 0.750 0.149
Sb: 0.249 0.750 0.481
Sb: 0.251 0.250 0.981
Sb: 0.272 0.250 0.649
Sb: 0.283 0.750 0.820
Sb: 0.405 0.250 0.176
Sb: 0.428 0.250 0.441
Sb: 0.464 0.250 0.929
Sb: 0.481 0.250 0.695
Sb: 0.519 0.750 0.305
Sb: 0.536 0.750 0.071
Sb: 0.572 0.750 0.559
Sb: 0.595 0.750 0.824
Sb: 0.717 0.250 0.180
Sb: 0.728 0.750 0.351
Sb: 0.749 0.750 0.019
Sb: 0.751 0.250 0.519
Sb: 0.772 0.250 0.851
Sb: 0.783 0.750 0.680
Sb: 0.905 0.250 0.324
Sb: 0.928 0.250 0.059
Sb: 0.964 0.250 0.571
Sb: 0.981 0.250 0.805
Pd: 0.066 0.250 0.309
Pd: 0.434 0.750 0.809
Pd: 0.566 0.250 0.191
Pd: 0.934 0.750 0.691



(19)
Cu3Pt: PBEsol geometry, SCAN.

## Properties
Energy of formation: -0.13 eV per atom
Crystal system: monoclinic

a = 4.483 Å, b = 4.483 Å, c = 4.388 Å
α = 102.01°, β = 102.01°, γ = 35.10°
Sites, in units of the cell vectors:
Cu: 0.000 0.000 0.000
Cu: 0.253 0.253 0.758
Cu: 0.747 0.747 0.242
Pt: 0.500 0.500 0.500



(20)
AlCrICl2: PBEsol geometry, SCAN.

## Properties
Crystal system: tetragonal
Formation energy without anion corrections: 0.3853 eV per atom

a = 6.197 Å, b = 6.197 Å, c = 4.886 Å
α = 90.00°, β = 90.00°, γ = 90.00°
Sites, in units of the cell vectors:
Al: 0.000 0.000 0.000
Cr: 0.500 0.500 0.000
I: 0.500 0.500 0.500
Cl: 0.000 0.500 0.500
Cl: 0.500 0.000 0.500



(21)
TePtCl: PBEsol geometry, SCAN.

## Properties
Crystal system: tetragonal
Formation energy without anion corrections: -0.2108 eV per atom

a = 6.801 Å, b = 6.801 Å, c = 6.801 Å
α = 150.49°, β = 150.49°, γ = 42.22°
Sites, in units of the cell vectors:
Te: 0.000 0.000 0.000
Pt: 0.415 0.415 0.000
Cl: 0.232 0.232 0.000



(22)
TlGaH2: PBEsol geometry, SCAN.

## Properties
E_tot: -23.200 eV/atom
Crystal system: cubic

a = 4.251 Å, b = 4.251 Å, c = 4.251 Å
α = 60.00°, β = 60.00°, γ = 60.00°
Sites, in units of the cell vectors:
Tl: 0.000 0.000 0.000
Ga: 0.500 0.500 0.500
H: 0.250 0.250 0.250
H: 0.750 0.750 0.750



(23)
In2OsCl2: PBEsol geometry, SCAN.

## Properties
Crystal system: tetragonal
Formation energy without anion corrections: 0.4866 eV per atom

a = 5.512 Å, b = 5.512 Å, c = 5.512 Å
α = 115.87°, β = 115.87°, γ = 97.31°
Sites, in units of the cell vectors:
In: 0.250 0.750 0.500
In: 0.750 0.250 0.500
Os: 0.000 0.000 0.000
Cl: 0.309 0.309 0.000
Cl: 0.691 0.691 0.000



(24)
ZrHg2As: PBEsol geometry, SCAN.

## Properties
Energy of formation: -0.18 eV per atom
Crystal system: orthorhombic

a = 5.441 Å, b = 5.441 Å, c = 5.441 Å
α = 135.80°, β = 133.08°, γ = 66.42°
Sites, in units of the cell vectors:
Zr: 0.000 0.000 0.000
Hg: 0.489 0.489 0.000
Hg: 0.746 0.246 0.500
As: 0.232 0.732 0.500



(25)
CaNiSb: PBEsol geometry, SCAN.

## Properties
Crystal system: orthorhombic
Formation energy without anion corrections: -0.0987 eV per atom

a = 5.056 Å, b = 5.056 Å, c = 5.056 Å
α = 139.28°, β = 130.35°, γ = 66.08°
Sites, in units of the cell vectors:
Ca: 0.000 0.000 0.000
Ni: 0.356 0.356 0.000
Sb: 0.662 0.662 0.000



(26)
KY: PBEsol geometry, SCAN.

## Properties
Energy of formation: 0.28 eV per atom
Crystal system: trigonal

a = 14.088 Å, b = 14.088 Å, c = 14.088 Å
α = 15.18°, β = 15.18°, γ = 15.18°
Sites, in units of the cell vectors:
K: 0.117 0.117 0.117
K: 0.883 0.883 0.883
Y: 0.365 0.365 0.365
Y: 0.635 0.635 0.635



(27)
ZrScCo4: PBEsol geometry, SCAN.

## Properties
Energy of formation: -0.20 eV per atom
Crystal system: cubic

a = 4.780 Å, b = 4.780 Å, c = 4.780 Å
α = 60.00°, β = 60.00°, γ = 60.00°
Sites, in units of the cell vectors:
Zr: 0.000 0.000 0.000
Sc: 0.750 0.750 0.750
Co: 0.375 0.375 0.375
Co: 0.375 0.375 0.874
Co: 0.375 0.874 0.375
Co: 0.874 0.375 0.375



Taking the records one at a time from the top gives magnetization values of 1.445; 0.000; 0.000; 0.000; 0.439; 0.000; 1.154; 0.000; 0.208; 0.000; 0.000; 0.000; 0.023; 0.001; 0.053; 0.000; 0.030; 0.000; 0.000; 0.798; 0.000; 0.000; 0.422; 0.000; 0.000; 0.485; 0.000 μB/atom.